Tm2Te2Br | PBE | relaxed

Values from the calculation:
Crystal system: tetragonal
Final energy in eV/atom: -4.7875
DOS at the Fermi energy in states/eV/f.u.: 1.9
Spin magnetization in μB per cell: 0.000

a b c (Å): 4.295 4.295 17.064
angles (deg): 90.00 90.00 90.00
Space group I4/mmm (No. 139)
Inequivalent atoms, fractional coordinates:
Tm  0.000  0.000  0.162 x4
Te  0.000  0.000  0.342 x4
Br  0.000  0.000  0.000 x2

Nd2AlSi3Ni12 | PBE | relaxed

Values from the calculation:
Crystal system: trigonal
Final energy in eV/atom: -5.6535
DOS at the Fermi energy in states/eV/f.u.: 12.9
Spin magnetization in μB per cell: 0.000

a b c (Å): 8.4861 8.4861 11.9448
angles (deg): 90.00 90.00 120.00
Space group R-3m (No. 166, hexagonal axes)
Inequivalent atoms, fractional coordinates:
Nd  0.0000  0.0000  0.1490 x6
Al  0.0000  0.0000  0.5000 x3
Si  0.0000  0.5000  0.0000 x9
Ni  0.0168  0.5084  0.1921 x18
Ni  0.0170  0.5085  0.3900 x18

Pm3GaGe6Pt2 | PBE | relaxed

Values from the calculation:
Crystal system: trigonal
Final energy in eV/atom: -5.1452
DOS at the Fermi energy in states/eV/f.u.: 2.5
Spin magnetization in μB per cell: 0.000
Formation energy in meV/atom: -390

a b c (Å): 5.9543 5.9543 8.3476
angles (deg): 90.00 90.00 120.00
Space group P-3m1 (No. 164)
Inequivalent atoms, fractional coordinates:
Pm  0.0000  0.0000  0.0000 x1
Pm  0.3333  0.6667  0.6252 x2
Ga  0.0000  0.0000  0.5000 x1
Ge  0.1884  0.3768  0.2717 x6
Pt  0.3333  0.6667  0.0126 x2